1.
A relaxed structure of Eu2BiP. Source: the Alexandria database, functional PBE.

Cell lengths 4.1584, 4.1584, 24.8004 Å; angles 90.00, 90.00, 120.00 degrees
Atoms (fractional coordinates):
Eu1 0.0000 0.0000 0.2328
Eu2 0.0000 0.0000 0.7672
Eu3 0.3333 0.6667 0.4339
Eu4 0.3333 0.6667 0.8995
Eu5 0.6667 0.3333 0.1005
Eu6 0.6667 0.3333 0.5661
Bi1 0.0000 0.0000 0.0000
Bi2 0.3333 0.6667 0.6667
Bi3 0.6667 0.3333 0.3333
P1 0.0000 0.0000 0.5000
P2 0.3333 0.6667 0.1667
P3 0.6667 0.3333 0.8333

Calculated values
As for the uncorrected energy: -100.79 eV/cell.



2.
A relaxed structure of Eu2BiP. Source: the Alexandria database, functional PBE.

Cell lengths 3.6257, 3.6257, 8.4977 Å; angles 90.00, 90.00, 90.00 degrees
Atoms (fractional coordinates):
Eu1 0.0000 0.0000 0.1958
Eu2 0.0000 0.0000 0.8042
Bi1 0.5000 0.5000 0.5000
P1 0.5000 0.5000 0.0000

Calculated values
As for the uncorrected energy: -33.43 eV/cell.



3.
A relaxed structure of EuBiPb2. Source: the Alexandria database, functional PBE.

Cell lengths 3.6450, 3.6450, 36.3161 Å; angles 90.00, 90.00, 120.00 degrees
Atoms (fractional coordinates):
Eu1 0.0000 0.0000 0.0000
Eu2 0.3333 0.6667 0.6667
Eu3 0.6667 0.3333 0.3333
Bi1 0.0000 0.0000 0.5000
Bi2 0.3333 0.6667 0.1667
Bi3 0.6667 0.3333 0.8333
Pb1 0.0000 0.0000 0.0916
Pb2 0.0000 0.0000 0.9084
Pb3 0.3333 0.6667 0.5751
Pb4 0.3333 0.6667 0.7583
Pb5 0.6667 0.3333 0.2417
Pb6 0.6667 0.3333 0.4249

Calculated values
As for the uncorrected energy: -63.54 eV/cell.



4.
A relaxed structure of EuBiPb2. Source: the Alexandria database, functional PBE.

Cell lengths 4.8951, 4.8951, 5.1779 Å; angles 90.00, 90.00, 90.00 degrees
Atoms (fractional coordinates):
Eu1 0.0000 0.0000 0.0000
Bi1 0.5000 0.5000 0.0000
Pb1 0.0000 0.5000 0.5000
Pb2 0.5000 0.0000 0.5000

Calculated values
As for the uncorrected energy: -23.26 eV/cell.



5.
A relaxed structure of PmEuBiPb. Source: the Alexandria database, functional PBE.

Cell lengths 7.9804, 7.9804, 7.9804 Å; angles 90.00, 90.00, 90.00 degrees
Atoms (fractional coordinates):
Pm1 0.0000 0.0000 0.0000
Pm2 0.0000 0.5000 0.5000
Pm3 0.5000 0.0000 0.5000
Pm4 0.5000 0.5000 0.0000
Eu1 0.0000 0.0000 0.5000
Eu2 0.0000 0.5000 0.0000
Eu3 0.5000 0.0000 0.0000
Eu4 0.5000 0.5000 0.5000
Bi1 0.2500 0.2500 0.2500
Bi2 0.2500 0.7500 0.7500
Bi3 0.7500 0.2500 0.7500
Bi4 0.7500 0.7500 0.2500
Pb1 0.2500 0.2500 0.7500
Pb2 0.2500 0.7500 0.2500
Pb3 0.7500 0.2500 0.2500
Pb4 0.7500 0.7500 0.7500

Calculated values
As for the uncorrected energy: -99.22 eV/cell.



6.
A relaxed structure of PrEuBiPb. Source: the Alexandria database, functional PBE.

Cell lengths 8.0333, 8.0333, 8.0333 Å; angles 90.00, 90.00, 90.00 degrees
Atoms (fractional coordinates):
Pr1 0.0000 0.0000 0.0000
Pr2 0.0000 0.5000 0.5000
Pr3 0.5000 0.0000 0.5000
Pr4 0.5000 0.5000 0.0000
Eu1 0.0000 0.0000 0.5000
Eu2 0.0000 0.5000 0.0000
Eu3 0.5000 0.0000 0.0000
Eu4 0.5000 0.5000 0.5000
Bi1 0.2500 0.2500 0.2500
Bi2 0.2500 0.7500 0.7500
Bi3 0.7500 0.2500 0.7500
Bi4 0.7500 0.7500 0.2500
Pb1 0.2500 0.2500 0.7500
Pb2 0.2500 0.7500 0.2500
Pb3 0.7500 0.2500 0.2500
Pb4 0.7500 0.7500 0.7500

Calculated values
As for the uncorrected energy: -99.54 eV/cell.



Calculated total magnetization in order - 3.36, 3.38, 1.92, 1.74, 1.72, 1.72 μB per atom